CaMnV2Re | PBE | optimized geometry

```
CaMnV2Re
1.0
4.342 0.000 0.000
0.000 4.342 0.000
0.000 0.000 4.273
Ca Mn V Re
1 1 2 1
direct
0.000 0.000 0.000
0.000 0.000 0.500
0.000 0.500 0.000
0.500 0.000 0.000
0.500 0.500 0.500
```

Summary:
uncorrected energy: -30.24 eV per cell


In5SnBi | PBE | optimized geometry

```
In5SnBi
1.0
4.556 0.000 0.000
0.000 4.556 0.000
0.000 0.000 9.954
In Sn Bi
5 1 1
direct
0.000 0.000 0.000
0.000 0.500 0.264
0.000 0.500 0.736
0.500 0.000 0.264
0.500 0.000 0.736
0.500 0.500 0.000
0.500 0.500 0.500
```

Summary:
uncorrected energy: -21.21 eV per cell


In3PdRh2 | PBE | optimized geometry

```
In3PdRh2
1.0
3.178 0.000 0.000
0.000 3.178 0.000
0.000 0.000 10.257
In Pd Rh
3 1 2
direct
0.000 0.000 0.000
0.000 0.000 0.328
0.000 0.000 0.672
0.500 0.500 0.500
0.500 0.500 0.163
0.500 0.500 0.837
```

Summary:
energy above the lowest structure with this stoichiometry: 0.000 eV/atom


LiTb2Ge4Pd3 | PBE | optimized geometry

```
LiTb2Ge4Pd3
1.0
4.123 0.000 0.000
0.000 4.123 0.000
0.000 0.000 10.937
Li Tb Ge Pd
1 2 4 3
direct
0.000 0.000 0.000
0.000 0.500 0.759
0.500 0.000 0.241
0.000 0.000 0.500
0.000 0.500 0.136
0.500 0.000 0.864
0.500 0.500 0.500
0.000 0.500 0.361
0.500 0.000 0.639
0.500 0.500 0.000
```

Summary:
uncorrected energy: -52.50 eV per cell